Entry 1:
{
  "formula": "LiNd2Ge4Rh3",
  "functional": "PBE-GGA",
  "state": "optimized geometry",
  "delta_e_f_ev_per_fu": -7.8,
  "lattice_angstrom": [[4.3510, 0.0000, 0.0000], [0.0000, 4.3510, 0.0000], [0.0000, 0.0000, 9.8556]],
  "species": ["Li", "Nd", "Nd", "Ge", "Ge", "Ge", "Ge", "Rh", "Rh", "Rh"],
  "fractional_positions": [[0.0000, 0.0000, 0.0000], [0.0000, 0.5000, 0.7467], [0.5000, 0.0000, 0.2533], [0.0000, 0.0000, 0.5000], [0.0000, 0.5000, 0.1287], [0.5000, 0.0000, 0.8713], [0.5000, 0.5000, 0.5000], [0.0000, 0.5000, 0.3762], [0.5000, 0.0000, 0.6238], [0.5000, 0.5000, 0.0000]]
}

***

Entry 2:
{
  "formula": "Zr2NbBi",
  "functional": "PBE-GGA",
  "state": "optimized geometry",
  "delta_e_f_ev_per_fu": -0.8,
  "lattice_angstrom": [[3.7060, 0.0000, 0.0000], [0.0000, 3.7060, 0.0000], [0.0000, 0.0000, 6.4638]],
  "species": ["Zr", "Zr", "Nb", "Bi"],
  "fractional_positions": [[0.0000, 0.0000, 0.2384], [0.0000, 0.0000, 0.7616], [0.5000, 0.5000, 0.0000], [0.5000, 0.5000, 0.5000]]
}

***

Entry 3:
{
  "formula": "ZnHg2Pd3",
  "functional": "PBE-GGA",
  "state": "optimized geometry",
  "delta_e_f_ev_per_fu": -1.7,
  "lattice_angstrom": [[2.1375, -6.4340, 0.0000], [2.1375, 6.4340, 0.0000], [0.0000, 0.0000, 7.3876]],
  "species": ["Zn", "Zn", "Hg", "Hg", "Hg", "Hg", "Pd", "Pd", "Pd", "Pd", "Pd", "Pd"],
  "fractional_positions": [[0.1657, 0.8343, 0.0000], [0.8343, 0.1657, 0.0000], [0.1675, 0.8325, 0.5000], [0.5000, 0.5000, 0.0000], [0.5000, 0.5000, 0.5000], [0.8325, 0.1675, 0.5000], [0.0000, 0.0000, 0.2392], [0.0000, 0.0000, 0.7608], [0.3268, 0.6732, 0.2243], [0.3268, 0.6732, 0.7757], [0.6732, 0.3268, 0.2243], [0.6732, 0.3268, 0.7757]]
}

***

Entry 4:
{
  "formula": "La2Ni",
  "functional": "PBE-GGA",
  "state": "optimized geometry",
  "delta_e_f_ev_per_fu": -0.4,
  "lattice_angstrom": [[1.8417, -7.8123, 0.0000], [1.8417, 7.8123, 0.0000], [0.0000, 0.0000, 5.6887]],
  "species": ["La", "La", "La", "La", "Ni", "Ni"],
  "fractional_positions": [[0.0590, 0.9410, 0.7500], [0.2164, 0.7836, 0.2500], [0.7836, 0.2164, 0.7500], [0.9410, 0.0590, 0.2500], [0.4162, 0.5838, 0.7500], [0.5838, 0.4162, 0.2500]]
}

***

Entry 5:
{
  "formula": "NiTeSe",
  "functional": "PBE-GGA",
  "state": "optimized geometry",
  "raw_formation_energy_ev_per_atom": 0.084,
  "e_above_lowest_polymorph_kj_per_mol_fu": 94,
  "lattice_angstrom": [[-1.5379, 1.5379, 8.3362], [1.5379, -1.5379, 8.3362], [1.5379, 1.5379, -8.3362]],
  "species": ["Ni", "Te", "Se"],
  "fractional_positions": [[0.0000, 0.0000, 0.0000], [0.2925, 0.2925, 0.0000], [0.5540, 0.5540, 0.0000]]
}

***

Entry 6:
{
  "formula": "Nb2V4Si",
  "functional": "PBE-GGA",
  "state": "optimized geometry",
  "raw_formation_energy_ev_per_atom": 0.791,
  "lattice_angstrom": [[-2.1899, 2.1899, 6.3124], [2.1899, -2.1899, 6.3124], [2.1899, 2.1899, -6.3124]],
  "species": ["Nb", "Nb", "V", "V", "V", "V", "Si"],
  "fractional_positions": [[0.1257, 0.1257, 0.0000], [0.8743, 0.8743, 0.0000], [0.0000, 0.5000, 0.5000], [0.3142, 0.3142, 0.0000], [0.5000, 0.0000, 0.5000], [0.6858, 0.6858, 0.0000], [0.5000, 0.5000, 0.0000]]
}

***

Entry 7:
{
  "formula": "Re2Au",
  "functional": "PBE-GGA",
  "state": "optimized geometry",
  "delta_e_f_ev_per_fu": 1.9,
  "e_above_lowest_polymorph_kj_per_mol_fu": 119,
  "lattice_angstrom": [[5.2274, 0.0000, 0.0000], [-2.6137, 4.5271, 0.0000], [0.0000, 0.0000, 8.5182]],
  "species": ["Re", "Re", "Re", "Re", "Re", "Re", "Re", "Re", "Au", "Au", "Au", "Au"],
  "fractional_positions": [[0.0000, 0.0000, 0.0000], [0.0000, 0.0000, 0.5000], [0.1734, 0.3468, 0.2500], [0.1734, 0.8266, 0.2500], [0.3468, 0.1734, 0.7500], [0.6532, 0.8266, 0.2500], [0.8266, 0.1734, 0.7500], [0.8266, 0.6532, 0.7500], [0.3333, 0.6667, 0.5771], [0.3333, 0.6667, 0.9229], [0.6667, 0.3333, 0.0771], [0.6667, 0.3333, 0.4229]]
}

***

Entry 8:
{
  "formula": "BaSrPdCl2",
  "functional": "PBE-GGA",
  "state": "optimized geometry",
  "raw_formation_energy_ev_per_atom": -0.749,
  "lattice_angstrom": [[5.6121, 0.0000, 0.0000], [0.0000, 5.6121, 0.0000], [0.0000, 0.0000, 14.1235]],
  "species": ["Ba", "Sr", "Pd", "Cl", "Cl"],
  "fractional_positions": [[0.0000, 0.0000, 0.0000], [0.0000, 0.0000, 0.5000], [0.5000, 0.5000, 0.5000], [0.0000, 0.5000, 0.0000], [0.5000, 0.0000, 0.0000]]
}

***

| no. | V (A^3/atom) | magnetization (μB/f.u.) | final energy (eV per atom) |
| --- | --- | --- | --- |
| 1 | 18.7 | 0.00 | -5.974 |
| 2 | 22.2 | 0.00 | -7.954 |
| 3 | 16.9 | 0.00 | -3.190 |
| 4 | 27.3 | 0.00 | -5.344 |
| 5 | 26.3 | 0.00 | -4.052 |
| 6 | 17.3 | 0.00 | -8.071 |
| 7 | 16.8 | 0.00 | -8.760 |
| 8 | 89.0 | 0.00 | -3.248 |